First-principles (PBE+U) data for a relaxed structure of CoPAuO2, as listed in the Alexandria database.

Geometry as extended XYZ:
```
5
Lattice="3.5832 0.0000 0.0000 0.0000 3.5832 0.0000 0.0000 0.0000 5.2972" Properties=species:S:1:pos:R:3 pbc="T T T"
Co 0.0000 0.0000 0.0000
P 0.0000 0.0000 2.6486
Au 1.7916 1.7916 2.6486
O 0.0000 1.7916 0.0000
O 1.7916 0.0000 0.0000
```

Calculated values
- Total moment: 2.73 μB/cell
- Electronic total energy: -4.708 eV/atom